1.
Below is a relaxed structure of HfGe2SbS, with properties calculated at the PBE level.

Lattice parameters (Å, degrees): 5.1668 4.8977 5.1668 90.00 90.00 90.00
Last column: nearest neighbours and their distance in Å.
Sites, in units of the cell vectors:
1 Hf 0.5000 0.5000 0.5000  8 Ge 3.56, 4 S 3.65
2 Ge 0.0000 0.0000 0.5000  2 Sb 2.58
3 Sb 0.0000 0.0000 0.0000  2 S 2.45, 4 Ge 2.58
4 S 0.0000 0.5000 0.0000  2 Sb 2.45
5 Ge 0.5000 0.0000 0.0000  2 Sb 2.58

**Calculated density**: 6.1 Mg/m³
**SG**: No. 123
**ΔE_f (raw)**: 4.980 eV per formula unit
**Energy**: -4.4915 eV per atom

2.
Below is a relaxed structure of Dy2YGa, with properties calculated at the PBE level.

Lattice parameters (Å, degrees): 3.6225 3.6225 10.3933 79.96 79.96 60.00
Last column: nearest neighbours and their distance in Å.
Sites, in units of the cell vectors:
1 Dy 0.2626 0.2626 0.2123  3 Ga 3.00
2 Ga 0.6663 0.6663 0.0010  6 Dy 3.00-3.02
3 Y 0.5003 0.5003 0.4991  6 Dy 3.59-3.61, 6 Y 3.62
4 Dy 0.0708 0.0708 0.7876  3 Ga 3.02

**Calculated density**: 6.9 Mg/m³
**SG**: No. 160
**ΔE to the lowest computed polymorph**: 78 meV/atom
**Energy**: -4.8729 eV per atom

3.
Below is a relaxed structure of Pu2ZnGe6Pd, with properties calculated at the PBE level.

Lattice parameters (Å, degrees): 5.8933 8.6904 8.2943 90.00 90.00 90.00
Last column: nearest neighbours and their distance in Å.
Sites, in units of the cell vectors:
1 Ge 0.7241 0.9722 0.0000  3 Ge 2.58-2.64, 1 Pd 2.58
2 Pu 0.0000 0.2799 0.7586  9 Ge 3.16-3.47
3 Ge 0.0000 0.8808 0.2215  1 Pd 2.49, 1 Zn 2.56, 2 Ge 2.58
4 Ge 0.5000 0.1192 0.7215  1 Pd 2.49, 1 Zn 2.56, 2 Ge 2.58
5 Pu 0.0000 0.2799 0.2414  9 Ge 3.16-3.47
6 Pd 0.0000 0.7724 0.5000  6 Ge 2.49-2.58
7 Ge 0.0000 0.8808 0.7785  1 Pd 2.49, 1 Zn 2.56, 2 Ge 2.58
8 Ge 0.2096 0.5190 0.5000  1 Zn 2.41, 1 Ge 2.47, 1 Pd 2.53
9 Ge 0.2759 0.9722 0.0000  3 Ge 2.58-2.64, 1 Pd 2.58
10 Ge 0.5000 0.1192 0.2785  1 Pd 2.49, 1 Zn 2.56, 2 Ge 2.58
11 Ge 0.7759 0.0278 0.5000  3 Ge 2.58-2.64, 1 Pd 2.58
12 Zn 0.5000 0.3243 0.5000  4 Ge 2.41-2.56
13 Zn 0.0000 0.6757 0.0000  4 Ge 2.41-2.56
14 Ge 0.7904 0.5190 0.5000  1 Zn 2.41, 1 Ge 2.47, 1 Pd 2.53
15 Ge 0.2241 0.0278 0.5000  3 Ge 2.58-2.64, 1 Pd 2.58
16 Ge 0.7096 0.4810 0.0000  1 Zn 2.41, 1 Ge 2.47, 1 Pd 2.53
17 Pd 0.5000 0.2276 0.0000  6 Ge 2.49-2.58
18 Ge 0.2904 0.4810 0.0000  1 Zn 2.41, 1 Ge 2.47, 1 Pd 2.53
19 Pu 0.5000 0.7201 0.2586  9 Ge 3.16-3.47
20 Pu 0.5000 0.7201 0.7414  9 Ge 3.16-3.47

**Calculated density**: 8.6 Mg/m³
**SG**: No. 59
**Energy**: -6.3880 eV per atom

4.
Below is a relaxed structure of CsNpAg2Se4, with properties calculated at the PBE level.

Lattice parameters (Å, degrees): 6.6492 7.1398 7.1398 71.32 62.25 62.25
Last column: nearest neighbours and their distance in Å.
Sites, in units of the cell vectors:
1 Cs 0.0000 0.0000 0.0000  8 Se 3.63-3.74
2 Np 0.5000 0.5000 0.5000  4 Se 2.68
3 Ag 0.1542 0.3458 0.3458  2 Se 2.55
4 Se 0.4708 0.1327 0.5189  1 Ag 2.55, 1 Np 2.68
5 Ag 0.8458 0.6542 0.6542  2 Se 2.55
6 Se 0.8776 0.5189 0.1327  1 Ag 2.55, 1 Np 2.68
7 Se 0.5292 0.4811 0.8673  1 Ag 2.55, 1 Np 2.68
8 Se 0.1224 0.8673 0.4811  1 Ag 2.55, 1 Np 2.68

**Calculated density**: 5.7 Mg/m³
**SG**: No. 23
**ΔE_f (raw)**: -4.057 eV per formula unit
**Energy**: -4.6865 eV per atom

5.
Below is a relaxed structure of AcPr3Dy2, with properties calculated at the PBE level.

Lattice parameters (Å, degrees): 6.8764 6.8764 11.7000 64.74 64.74 63.65
Last column: nearest neighbours and their distance in Å.
Sites, in units of the cell vectors:
1 Pr 0.6636 0.6693 0.4161  1 Pr 3.36, 4 Dy 3.38-3.65
2 Pr 0.3307 0.3364 0.0839  1 Pr 3.36, 4 Dy 3.38-3.65
3 Dy 0.8358 0.8340 0.0817  1 Dy 3.34, 4 Pr 3.38-3.65
4 Pr 0.3364 0.3307 0.5839  1 Pr 3.36, 4 Dy 3.38-3.65
5 Dy 0.1660 0.1642 0.4183  1 Dy 3.34, 4 Pr 3.38-3.65
6 Pr 0.2476 0.7524 0.7500  2 Ac 3.58-3.67, 6 Dy 3.80-3.84, 6 Pr 3.81-3.85
7 Pr 0.6693 0.6636 0.9161  1 Pr 3.36, 4 Dy 3.38-3.65
8 Ac 0.7536 0.2464 0.7500  8 Pr 3.58-3.86, 6 Dy 3.80-3.85
9 Pr 0.7524 0.2476 0.2500  2 Ac 3.58-3.67, 6 Dy 3.80-3.84, 6 Pr 3.81-3.85
10 Dy 0.8340 0.8358 0.5817  1 Dy 3.34, 4 Pr 3.38-3.65
11 Dy 0.1642 0.1660 0.9183  1 Dy 3.34, 4 Pr 3.38-3.65
12 Ac 0.2464 0.7536 0.2500  8 Pr 3.58-3.86, 6 Dy 3.80-3.85

**Calculated density**: 7.6 Mg/m³
**SG**: No. 15
**ΔE to the lowest computed polymorph**: 0 meV/atom
**Energy**: -4.5509 eV per atom

6.
Below is a relaxed structure of AcUBi, with properties calculated at the PBE level.

Lattice parameters (Å, degrees): 3.4479 3.4393 9.1202 79.18 100.90 90.00
Last column: nearest neighbours and their distance in Å.
Sites, in units of the cell vectors:
1 Bi 0.6610 0.6718 0.3219  2 U 3.31-3.32, 4 Bi 3.44-3.45, 2 Ac 3.57
2 U 0.4999 0.3341 0.9997  2 Bi 3.31-3.32, 4 U 3.44-3.45
3 Ac 0.8392 0.9941 0.6784  4 Ac 3.44-3.45, 2 Bi 3.57, 4 U 3.73

**Calculated density**: 10.7 Mg/m³
**SG**: No. 44
**Energy**: -5.9331 eV per atom

7.
Below is a relaxed structure of YErMgMn, with properties calculated at the PBE level.

Lattice parameters (Å, degrees): 5.1698 5.1698 5.1698 60.00 60.00 60.00
Last column: nearest neighbours and their distance in Å.
Sites, in units of the cell vectors:
1 Mg 0.5000 0.5000 0.5000  4 Er 3.17, 4 Y 3.17
2 Y 0.7500 0.7500 0.7500  4 Mg 3.17, 4 Mn 3.17
3 Mn 0.0000 0.0000 0.0000  4 Er 3.17, 4 Y 3.17
4 Er 0.2500 0.2500 0.2500  4 Mn 3.17, 4 Mg 3.17

**Calculated density**: 5.7 Mg/m³
**SG**: No. 216
**Energy**: -5.3558 eV per atom

8.
Below is a relaxed structure of Tl3Co, with properties calculated at the PBE level.

Lattice parameters (Å, degrees): 4.6008 4.6008 4.6008 90.00 90.00 90.00
Last column: nearest neighbours and their distance in Å.
Sites, in units of the cell vectors:
1 Tl 0.5000 0.0000 0.5000  8 Tl 3.25, 4 Co 3.25
2 Tl 0.0000 0.5000 0.5000  8 Tl 3.25, 4 Co 3.25
3 Tl 0.5000 0.5000 0.0000  8 Tl 3.25, 4 Co 3.25
4 Co 0.0000 0.0000 0.0000  12 Tl 3.25

**Calculated density**: 11.5 Mg/m³
**SG**: No. 221
**Energy**: -2.9506 eV per atom

9.
Below is a relaxed structure of TbPuMg2Au4, with properties calculated at the PBE level.

Lattice parameters (Å, degrees): 4.9597 4.9597 8.5502 73.14 73.14 60.00
Last column: nearest neighbours and their distance in Å.
Sites, in units of the cell vectors:
1 Tb 0.5000 0.5000 0.5000  8 Au 2.99-3.02
2 Mg 0.2503 0.2503 0.2490  8 Au 2.97-3.06
3 Mg 0.7497 0.7497 0.7510  8 Au 2.97-3.06
4 Au 0.3764 0.3764 0.8708  1 Tb 2.99, 4 Mg 3.02-3.05, 3 Pu 3.05
5 Pu 0.0000 0.0000 0.0000  8 Au 3.05-3.08
6 Au 0.6236 0.6236 0.1292  1 Tb 2.99, 4 Mg 3.02-3.05, 3 Pu 3.05
7 Au 0.8726 0.8726 0.3821  4 Mg 2.97-3.06, 3 Tb 3.02, 1 Pu 3.08
8 Au 0.1274 0.1274 0.6179  4 Mg 2.97-3.06, 3 Tb 3.02, 1 Pu 3.08

**Calculated density**: 12.0 Mg/m³
**SG**: No. 166
**Energy**: -5.0268 eV per atom

10.
Below is a relaxed structure of Pm2Er2Sn, with properties calculated at the PBE level.

Lattice parameters (Å, degrees): 4.3568 4.3568 9.1620 103.75 103.75 90.00
Last column: nearest neighbours and their distance in Å.
Sites, in units of the cell vectors:
1 Pm 0.5870 0.5870 0.1741  1 Pm 3.00
2 Sn 0.0000 0.0000 0.0000  8 Pm 3.43
3 Er 0.7500 0.2500 0.5000  4 Er 3.08
4 Er 0.2500 0.7500 0.5000  4 Er 3.08
5 Pm 0.4130 0.4130 0.8259  1 Pm 3.00

**Calculated density**: 7.5 Mg/m³
**SG**: No. 139
**Energy**: -4.3967 eV per atom

11.
Below is a relaxed structure of Pm5HgTe5, with properties calculated at the PBE level.

Lattice parameters (Å, degrees): 6.3168 7.7054 8.8593 106.79 90.00 114.20
Last column: nearest neighbours and their distance in Å.
Sites, in units of the cell vectors:
1 Pm 0.8343 0.6686 0.1685  5 Te 3.12-3.20, 1 Hg 3.14
2 Te 0.6645 0.3290 0.8284  5 Pm 3.14-3.20
3 Te 0.0000 0.0000 0.5000  4 Pm 3.11-3.12
4 Hg 0.0000 0.0000 0.0000  6 Pm 3.14-3.16
5 Te 0.3330 0.6660 0.6637  5 Pm 3.11-3.16
6 Pm 0.1654 0.3308 0.3351  5 Te 3.11-3.16, 1 Hg 3.14
7 Pm 0.5000 0.0000 0.0000  4 Te 3.14-3.16, 2 Hg 3.16
8 Pm 0.8346 0.6692 0.6649  5 Te 3.11-3.16, 1 Hg 3.14
9 Pm 0.1657 0.3314 0.8315  5 Te 3.12-3.20, 1 Hg 3.14
10 Te 0.3355 0.6710 0.1716  5 Pm 3.14-3.20
11 Te 0.6670 0.3340 0.3363  5 Pm 3.11-3.16

**Calculated density**: 7.0 Mg/m³
**SG**: No. 12
**ΔE_f (raw)**: -13.826 eV per formula unit
**Energy**: -4.8717 eV per atom

12.
Below is a relaxed structure of PuInNi, with properties calculated at the PBE level.

Lattice parameters (Å, degrees): 3.1494 3.1494 6.3991 104.25 104.25 90.00
Last column: nearest neighbours and their distance in Å.
Sites, in units of the cell vectors:
1 In 0.3056 0.3056 0.6112  4 Ni 2.72
2 Ni 0.6754 0.6754 0.3508  4 In 2.72, 4 Pu 2.91
3 Pu 0.0190 0.0190 0.0380  4 Ni 2.91, 4 Pu 3.15

**Calculated density**: 11.7 Mg/m³
**SG**: No. 107
**Energy**: -7.7343 eV per atom

13.
Below is a relaxed structure of SmPuMnTc, with properties calculated at the PBE level.

Lattice parameters (Å, degrees): 4.8694 4.8694 4.8694 60.00 60.00 60.00
Last column: nearest neighbours and their distance in Å.
Sites, in units of the cell vectors:
1 Sm 0.2500 0.2500 0.2500  4 Mn 2.98, 4 Tc 2.98
2 Tc 0.5000 0.5000 0.5000  4 Sm 2.98, 4 Pu 2.98
3 Pu 0.7500 0.7500 0.7500  4 Mn 2.98, 4 Tc 2.98
4 Mn 0.0000 0.0000 0.0000  4 Pu 2.98, 4 Sm 2.98

**Calculated density**: 11.1 Mg/m³
**SG**: No. 216
**Energy**: -9.4676 eV per atom

14.
Below is a relaxed structure of K2YCd, with properties calculated at the PBE level.

Lattice parameters (Å, degrees): 7.3664 7.3664 7.3664 141.86 141.86 55.04
Last column: nearest neighbours and their distance in Å.
Sites, in units of the cell vectors:
1 K 0.0000 0.0000 0.0000  4 K 3.40
2 K 0.5000 0.5000 0.0000  4 K 3.40
3 Cd 0.7500 0.2500 0.5000  4 Y 3.40
4 Y 0.2500 0.7500 0.5000  4 Cd 3.40

**Calculated density**: 3.1 Mg/m³
**SG**: No. 139
**Energy**: -2.0638 eV per atom

15.
Below is a relaxed structure of Ca3OsO6F2, with properties calculated at the PBE level.

Lattice parameters (Å, degrees): 4.8292 6.5575 6.5457 120.06 89.63 90.00
Last column: nearest neighbours and their distance in Å.
Sites, in units of the cell vectors:
1 F 0.2541 0.6654 0.3309  3 Ca 2.24-2.25
2 O 0.7226 0.8587 0.1307  1 Os 1.88
3 O 0.2774 0.7280 0.8693  1 Os 1.88
4 Ca 0.5000 0.5000 0.5000  2 F 2.24, 4 O 2.29-2.36
5 F 0.7459 0.3346 0.6691  3 Ca 2.24-2.25
6 O 0.2774 0.1413 0.8693  1 Os 1.88
7 Os 0.5000 0.0000 0.0000  6 O 1.88
8 O 0.7226 0.2720 0.1307  1 Os 1.88
9 Ca 0.0000 0.5000 0.0000  2 F 2.25, 4 O 2.46
10 Ca 0.5000 0.0000 0.5000  2 F 2.24, 4 O 2.29-2.36
11 O 0.7090 0.8591 0.7183  1 Os 1.88
12 O 0.2910 0.1409 0.2817  1 Os 1.88

**Calculated density**: 4.1 Mg/m³
**SG**: No. 12
**ΔE_f (raw)**: -27.877 eV per formula unit
**Energy**: -6.5503 eV per atom

16.
Below is a relaxed structure of Ta2SiHg, with properties calculated at the PBE level.

Lattice parameters (Å, degrees): 5.0835 5.0835 5.0835 132.42 132.42 69.57
Last column: nearest neighbours and their distance in Å.
Sites, in units of the cell vectors:
1 Si 0.7500 0.2500 0.5000  4 Hg 2.90, 8 Ta 2.93
2 Ta 0.0000 0.0000 0.0000  4 Ta 2.90, 4 Hg 2.93, 4 Si 2.93
3 Hg 0.2500 0.7500 0.5000  4 Si 2.90, 8 Ta 2.93
4 Ta 0.5000 0.5000 0.0000  4 Ta 2.90, 4 Si 2.93, 4 Hg 2.93

**Calculated density**: 14.0 Mg/m³
**SG**: No. 139
**ΔE_f (raw)**: 1.068 eV per formula unit
**Energy**: -7.0905 eV per atom

17.
Below is a relaxed structure of TbTmPdRh, with properties calculated at the PBE level.

Lattice parameters (Å, degrees): 3.4431 3.4431 6.9315 90.00 90.00 90.00
Last column: nearest neighbours and their distance in Å.
Sites, in units of the cell vectors:
1 Rh 0.5000 0.5000 0.6003  4 Tm 2.93, 4 Tb 2.98
2 Tb 0.0000 0.0000 0.8475  4 Rh 2.98, 4 Pd 3.06
3 Tm 0.0000 0.0000 0.3652  4 Rh 2.93, 4 Pd 2.99
4 Pd 0.5000 0.5000 0.1150  4 Tm 2.99, 4 Tb 3.06

**Calculated density**: 10.9 Mg/m³
**SG**: No. 99
**ΔE to the lowest computed polymorph**: 0 meV/atom
**Energy**: -6.3318 eV per atom

18.
Below is a relaxed structure of NbSnTe2, with properties calculated at the PBE level.

Lattice parameters (Å, degrees): 3.6234 6.8300 9.5736 97.16 90.00 105.38
Last column: nearest neighbours and their distance in Å.
Sites, in units of the cell vectors:
1 Te 0.7042 0.4083 0.1359  3 Nb 2.83-3.00, 1 Sn 3.11
2 Nb 0.9139 0.8277 0.0461  1 Nb 2.54, 4 Te 2.82-2.83
3 Nb 0.0861 0.1723 0.9539  1 Nb 2.54, 4 Te 2.82-2.83
4 Te 0.4456 0.8913 0.2732  2 Nb 2.82, 1 Sn 3.07
5 Sn 0.6586 0.3171 0.4464  3 Te 3.07-3.17, 2 Sn 3.08
6 Sn 0.3414 0.6829 0.5536  3 Te 3.07-3.17, 2 Sn 3.08
7 Te 0.2958 0.5917 0.8641  3 Nb 2.83-3.00, 1 Sn 3.11
8 Te 0.5544 0.1087 0.7268  2 Nb 2.82, 1 Sn 3.07

**Calculated density**: 6.8 Mg/m³
**SG**: No. 12
**ΔE_f (raw)**: -0.402 eV per formula unit
**Energy**: -5.1894 eV per atom

19.
Below is a relaxed structure of Nd7Te4Se4, with properties calculated at the PBE level.

Lattice parameters (Å, degrees): 7.4786 11.5043 11.5043 83.94 71.03 71.03
Last column: nearest neighbours and their distance in Å.
Sites, in units of the cell vectors:
1 Se 0.1012 0.5000 0.7976  6 Nd 3.00-3.14
2 Nd 0.1167 0.3833 0.3833  4 Se 3.00, 1 Te 3.20
3 Nd 0.0000 0.2833 0.7167  2 Te 3.10, 4 Se 3.14
4 Nd 0.7515 0.0000 0.0000  8 Te 3.29-3.36
5 Nd 0.7093 0.0000 0.5813  4 Se 3.02, 2 Te 3.26
6 Nd 0.2485 0.0000 0.0000  8 Te 3.29-3.36
7 Nd 0.8833 0.6167 0.6167  4 Se 3.00, 1 Te 3.20
8 Te 0.1284 0.7432 0.0000  4 Nd 3.10-3.36
9 Se 0.6012 0.7976 0.5000  6 Nd 3.00-3.14
10 Nd 0.2907 0.0000 0.4187  4 Se 3.02, 2 Te 3.26
11 Se 0.3988 0.2024 0.5000  6 Nd 3.00-3.14
12 Nd 0.7167 0.2833 0.2833  2 Te 3.10, 4 Se 3.14
13 Nd 0.2833 0.7167 0.7167  2 Te 3.10, 4 Se 3.14
14 Se 0.1012 0.7976 0.5000  6 Nd 3.00-3.14
15 Te 0.1284 0.0000 0.7432  4 Nd 3.10-3.36
16 Se 0.8988 0.5000 0.2024  6 Nd 3.00-3.14
17 Nd 0.5000 0.6167 0.3833  4 Se 3.00, 1 Te 3.20
18 Te 0.5000 0.8244 0.1756  5 Nd 3.20-3.29
19 Te 0.8716 0.2568 0.0000  4 Nd 3.10-3.36
20 Te 0.5000 0.1756 0.8244  5 Nd 3.20-3.29
21 Te 0.6756 0.8244 0.8244  5 Nd 3.20-3.29
22 Se 0.3988 0.5000 0.2024  6 Nd 3.00-3.14
23 Nd 0.7093 0.5813 0.0000  4 Se 3.02, 2 Te 3.26
24 Nd 0.0000 0.7167 0.2833  2 Te 3.10, 4 Se 3.14
25 Te 0.8716 0.0000 0.2568  4 Nd 3.10-3.36
26 Se 0.6012 0.5000 0.7976  6 Nd 3.00-3.14
27 Nd 0.2907 0.4187 0.0000  4 Se 3.02, 2 Te 3.26
28 Se 0.8988 0.2024 0.5000  6 Nd 3.00-3.14
29 Te 0.3244 0.1756 0.1756  5 Nd 3.20-3.29
30 Nd 0.5000 0.3833 0.6167  4 Se 3.00, 1 Te 3.20

**Calculated density**: 6.9 Mg/m³
**SG**: No. 139
**ΔE_f (raw)**: -23.111 eV per formula unit
**Energy**: -5.5327 eV per atom

20.
Below is a relaxed structure of TaTlCl4, with properties calculated at the PBE level.

Lattice parameters (Å, degrees): 6.2556 11.3574 8.2797 121.67 94.92 115.19
Last column: nearest neighbours and their distance in Å.
Sites, in units of the cell vectors:
1 Cl 0.0770 0.7682 0.3636  1 Ta 2.34
2 Tl 0.5886 0.8386 0.1771  2 Ta 3.16, 4 Cl 3.41-3.51
3 Cl 0.8452 0.1761 0.1427  1 Ta 2.33
4 Cl 0.7025 0.5334 0.8573  1 Ta 2.33
5 Ta 0.0561 0.8061 0.1121  4 Cl 2.33-2.34
6 Cl 0.2867 0.0954 0.3636  1 Ta 2.34
7 Cl 0.2975 0.4666 0.1427  1 Ta 2.33
8 Cl 0.7133 0.9046 0.6364  1 Ta 2.34
9 Cl 0.1548 0.8239 0.8573  1 Ta 2.33
10 Ta 0.9439 0.1939 0.8879  4 Cl 2.33-2.34
11 Tl 0.4114 0.1614 0.8229  2 Ta 3.16, 4 Cl 3.41-3.51
12 Cl 0.9230 0.2318 0.6364  1 Ta 2.34

**Calculated density**: 4.2 Mg/m³
**SG**: No. 15
**ΔE to the lowest computed polymorph**: 0 meV/atom
**ΔE_f (raw)**: -5.599 eV per formula unit
**Energy**: -4.5340 eV per atom